Model P:
Density functional theory data (PBE) for an optimized crystal structure of TiClF2.

D(E_F) = 1.80 states/eV per cell
Space-group type = No. 166

Cell lengths 9.6072, 9.6072, 9.6072 Å; angles 17.00, 17.00, 17.00 degrees
Atoms (fractional coordinates):
F  0.8797  0.8797  0.8797
F  0.1203  0.1203  0.1203
Cl  0.0000  0.0000  0.0000
Ti  0.5000  0.5000  0.5000

***

Model Q:
Density functional theory data (PBE) for an optimized crystal structure of TiClF2.

D(E_F) = 5.65 states/eV per cell
Space-group type = No. 141

Cell lengths 4.9982, 4.9982, 6.7879 Å; angles 68.40, 68.40, 90.00 degrees
Site moments in Bohr magnetons follow the coordinates.
Atoms (fractional coordinates):
F  0.8753  0.1250  0.2500  -0.01
F  0.8747  0.6250  0.2500  -0.01
F  0.3750  0.1247  0.7500  -0.01
F  0.8750  0.1253  0.7500  -0.01
Cl  0.5000  0.5000  0.0000  -0.01
Cl  0.2500  0.7500  0.5000  -0.01
Ti  0.0000  0.0000  0.0000  0.95
Ti  0.7500  0.2500  0.5000  0.95

***

Relative energies, unit meV/atom: model P 302; model Q 0

***

Model P:
Density functional theory data (PBE) for an optimized crystal structure of TiCl3F.

D(E_F) = 22.13 states/eV per cell
Space-group type = No. 221

Cell lengths 4.6141, 4.6141, 4.6141 Å; angles 90.00, 90.00, 90.00 degrees
Atoms (fractional coordinates):
F  0.0000  0.0000  0.0000
Ti  0.5000  0.5000  0.5000
Cl  0.0000  0.5000  0.0000
Cl  0.0000  0.0000  0.5000
Cl  0.5000  0.0000  0.0000

***

Model Q:
Density functional theory data (PBE) for an optimized crystal structure of TiCl3F.

D(E_F) = 12.64 states/eV per cell
Space-group type = No. 221

Cell lengths 4.6988, 4.6988, 4.6988 Å; angles 90.00, 90.00, 90.00 degrees
Site moments in Bohr magnetons follow the coordinates.
Atoms (fractional coordinates):
F  0.5000  0.5000  0.5000  -0.01
Ti  0.0000  0.0000  0.0000  -0.13
Cl  0.0000  0.5000  0.0000  0.01
Cl  0.0000  0.0000  0.5000  0.00
Cl  0.5000  0.0000  0.0000  0.01

***

Relative energies, unit meV/atom: model P 1410; model Q 0

***

Model P:
Density functional theory data (PBE) for an optimized crystal structure of Tl3Cl2F.

D(E_F) = 0.00 states/eV per cell
Space-group type = No. 62

Cell lengths 4.4081, 12.2774, 14.1612 Å; angles 90.00, 90.00, 90.00 degrees
Atoms (fractional coordinates):
Tl  0.7500  0.9253  0.8876
Tl  0.7500  0.4253  0.6124
Tl  0.2500  0.0747  0.1124
Tl  0.2500  0.5747  0.3876
Tl  0.7500  0.6061  0.9046
Tl  0.7500  0.1061  0.5954
Tl  0.2500  0.3939  0.0954
Tl  0.2500  0.8939  0.4046
Tl  0.7500  0.7498  0.1773
Tl  0.7500  0.2498  0.3227
Tl  0.2500  0.2502  0.8227
Tl  0.2500  0.7502  0.6773
Cl  0.7500  0.2273  0.0114
Cl  0.7500  0.7273  0.4886
Cl  0.2500  0.7727  0.9886
Cl  0.2500  0.2727  0.5114
Cl  0.7500  0.9944  0.2643
Cl  0.7500  0.4944  0.2357
Cl  0.2500  0.0056  0.7357
Cl  0.2500  0.5056  0.7643
F  0.7500  0.7565  0.7867
F  0.7500  0.2565  0.7133
F  0.2500  0.2435  0.2133
F  0.2500  0.7435  0.2867

***

Model Q:
Density functional theory data (PBE) for an optimized crystal structure of Tl3Cl2F.

D(E_F) = 0.00 states/eV per cell
Space-group type = No. 15

Cell lengths 6.4460, 8.7321, 7.6454 Å; angles 106.32, 114.93, 90.00 degrees
Atoms (fractional coordinates):
Tl  0.4783  0.2500  0.0000
Tl  0.5217  0.7500  0.0000
Tl  0.1408  0.0763  0.2870
Tl  0.8538  0.4237  0.7130
Tl  0.1462  0.5763  0.2870
Tl  0.8592  0.9237  0.7130
Cl  0.6882  0.5895  0.3622
Cl  0.6740  0.0895  0.3622
Cl  0.3260  0.9105  0.6378
Cl  0.3118  0.4105  0.6378
F  0.9046  0.7500  0.0000
F  0.0954  0.2500  0.0000

***

Relative energies, unit meV/atom: model P 0; model Q 21

***

Model P:
Density functional theory data (PBE) for an optimized crystal structure of TlCl3F.

Space-group type = No. 1

Cell lengths 6.1520, 7.5762, 6.5233 Å; angles 89.41, 71.21, 91.44 degrees
Atoms (fractional coordinates):
Tl  0.2804  0.6640  0.9416
Tl  0.5771  0.7909  0.3622
Cl  0.4218  0.5012  0.2200
Cl  0.4744  0.9487  0.0517
Cl  0.9377  0.2231  0.1459
Cl  0.7448  0.0798  0.4737
Cl  0.1224  0.3629  0.8296
Cl  0.1654  0.8435  0.6571
F  0.5997  0.6349  0.6456
F  0.9326  0.7150  0.1803

***

Model Q:
Density functional theory data (PBE) for an optimized crystal structure of TlCl3F.

D(E_F) = 3.78 states/eV per cell
Space-group type = No. 221

Cell lengths 4.8861, 4.8861, 4.8861 Å; angles 90.00, 90.00, 90.00 degrees
Atoms (fractional coordinates):
Tl  0.5000  0.5000  0.5000
F  0.0000  0.0000  0.0000
Cl  0.0000  0.5000  0.0000
Cl  0.0000  0.0000  0.5000
Cl  0.5000  0.0000  0.0000

***

Model R:
Density functional theory data (PBE) for an optimized crystal structure of TlCl3F.

D(E_F) = 21.20 states/eV per cell
Space-group type = No. 221

Cell lengths 5.2440, 5.2440, 5.2440 Å; angles 90.00, 90.00, 90.00 degrees
Site moments in Bohr magnetons follow the coordinates.
Atoms (fractional coordinates):
Tl  0.0000  0.0000  0.0000  0.01
F  0.5000  0.5000  0.5000  -0.63
Cl  0.0000  0.5000  0.0000  -0.09
Cl  0.0000  0.0000  0.5000  -0.07
Cl  0.5000  0.0000  0.0000  -0.12

***

Relative energies, unit meV/atom: model P 0; model Q 715; model R 623